CaCrH2O4: optimized geometry, PBE with a Hubbard U.

Unit cell a=4.4569 b=4.7756 c=4.7756 alpha=73.40 beta=62.18 gamma=62.18
Fractional positions:
1 Ca 0.0000 0.0000 0.0000
2 Cr 0.5000 0.5000 0.5000
3 H 0.1719 0.3281 0.3281
4 H 0.8281 0.6719 0.6719
5 O 0.3995 0.1899 0.4555
6 O 0.0449 0.8101 0.5445
7 O 0.9551 0.4555 0.1899
8 O 0.6005 0.5445 0.8101

Calculated values
For the final energy, the calculation gives -48.7 eV/cell.